# 1
Computed, not measured: a relaxed structure of Dy5Zn at the PBE level of DFT.

Cell lengths 8.2316, 8.2316, 8.2316 Å; angles 125.36, 125.36, 80.95 degrees
With the nearest neighbours (Å) after each atom.
Fractional coordinates of all 12 atoms:
Dy (0.0000, 0.0000, 0.0000)  2 Zn 3.13, 8 Dy 3.37
Dy (0.0149, 0.5149, 0.8169)  2 Zn 3.14, 4 Dy 3.31-3.39
Dy (0.1980, 0.0149, 0.5000)  2 Zn 3.14, 4 Dy 3.31-3.39
Dy (0.3020, 0.8020, 0.8169)  2 Zn 3.14, 4 Dy 3.31-3.39
Dy (0.4851, 0.3020, 0.5000)  2 Zn 3.14, 4 Dy 3.31-3.39
Dy (0.5000, 0.5000, 0.0000)  2 Zn 3.13, 8 Dy 3.37
Dy (0.5149, 0.6980, 0.5000)  2 Zn 3.14, 4 Dy 3.31-3.39
Dy (0.6980, 0.1980, 0.1831)  2 Zn 3.14, 4 Dy 3.31-3.39
Dy (0.8020, 0.9851, 0.5000)  2 Zn 3.14, 4 Dy 3.31-3.39
Dy (0.9851, 0.4851, 0.1831)  2 Zn 3.14, 4 Dy 3.31-3.39
Zn (0.2500, 0.2500, 0.0000)  10 Dy 3.13-3.14
Zn (0.7500, 0.7500, 0.0000)  10 Dy 3.13-3.14

space group	I4/mcm (140)
ΔE_f	0.115	eV/atom

***

# 2
Computed, not measured: a relaxed structure of CrTcGe3 at the PBE level of DFT.

Cell lengths 4.5974, 4.5974, 4.5974 Å; angles 90.00, 90.00, 90.00 degrees
With the nearest neighbours (Å) after each atom.
Fractional coordinates of all 5 atoms:
Cr (0.0000, 0.0000, 0.0000)  6 Ge 2.30
Tc (0.5000, 0.5000, 0.5000)  12 Ge 3.25
Ge (0.0000, 0.0000, 0.5000)  2 Cr 2.30
Ge (0.0000, 0.5000, 0.0000)  2 Cr 2.30
Ge (0.5000, 0.0000, 0.0000)  2 Cr 2.30

space group	Pm-3m (221)
ΔE_f	0.882	eV/atom

***

# 3
Computed, not measured: a relaxed structure of Be4SbO7 at the PBE level of DFT.

Cell lengths 5.4612, 5.4612, 5.4612 Å; angles 60.00, 60.00, 60.00 degrees
With the nearest neighbours (Å) after each atom.
Fractional coordinates of all 12 atoms:
Be (0.3765, 0.3765, 0.3765)  4 O 1.64-1.65
Be (0.3765, 0.3765, 0.8706)  4 O 1.64-1.65
Be (0.3765, 0.8706, 0.3765)  4 O 1.64-1.65
Be (0.8706, 0.3765, 0.3765)  4 O 1.64-1.65
Sb (0.7500, 0.7500, 0.7500)  6 O 2.00
O (0.0086, 0.0086, 0.4914)  2 Be 1.64
O (0.0086, 0.4914, 0.0086)  2 Be 1.64
O (0.0086, 0.4914, 0.4914)  2 Be 1.64
O (0.4914, 0.0086, 0.0086)  2 Be 1.64
O (0.4914, 0.0086, 0.4914)  2 Be 1.64
O (0.4914, 0.4914, 0.0086)  2 Be 1.64
O (0.5000, 0.5000, 0.5000)  4 Be 1.65

ΔE_f (raw)	-210.5	kJ per mole of atoms
space group	F-43m (216)

***

no.,energy (eV/atom)
1,-3.9322
2,-5.8862
3,-6.6594